DFT (PBE) results for a geometry-optimized Co2NiRh structure.

Output
Energy of formation from the pure elements (kcal/mol of atoms): 2.0
Electronic total energy (eV/atom): -6.75

a = 2.6006 Å, b = 2.6006 Å, c = 24.8140 Å
α = 90.00°, β = 90.00°, γ = 120.00°
Space group R-3m (No. 166, hexagonal axes)
Inequivalent atoms, fractional coordinates:
1 Co 0.0000 0.0000 0.2469 (multiplicity 6)
2 Ni 0.0000 0.0000 0.5000 (multiplicity 3)
3 Rh 0.0000 0.0000 0.0000 (multiplicity 3)